NiPd2O | PBE+U | optimized geometry

a b c (Å): 6.380 6.380 5.337
angles (deg): 90.00 90.00 90.00
Atoms (fractional coordinates):
Ni (0.000, 0.000, 0.000)
Ni (0.000, 0.500, 0.250)
Ni (0.500, 0.000, 0.750)
Ni (0.500, 0.500, 0.500)
Pd (0.198, 0.250, 0.625)
Pd (0.250, 0.698, 0.875)
Pd (0.250, 0.802, 0.375)
Pd (0.302, 0.250, 0.125)
Pd (0.698, 0.750, 0.125)
Pd (0.750, 0.198, 0.375)
Pd (0.750, 0.302, 0.875)
Pd (0.802, 0.750, 0.625)
O (0.000, 0.000, 0.500)
O (0.000, 0.500, 0.750)
O (0.500, 0.000, 0.250)
O (0.500, 0.500, 0.000)

mass density	8.791	Mg/m³
E_tot	-3.906	eV per atom
SG	No. 122